1.
## Ca2MgIrSe (GGA-PBE)

Data for an optimized crystal structure of Ca2MgIrSe.

Cell lengths 5.6830, 5.6830, 4.5363 Å; angles 90.00, 90.00, 90.00 degrees
Element x y z (fractional)
Ca  0.0000  0.5000  0.0000
Ca  0.5000  0.0000  0.0000
Mg  0.0000  0.0000  0.0000
Ir  0.0000  0.0000  0.5000
Se  0.5000  0.5000  0.5000

Output
Uncorrected formation energy = 228 meV/atom
Total DFT energy (no corrections) = -16.80 eV for the cell shown
Space group = P4/mmm (123)
Magnetic moment = 0.44 μB per formula unit
Crystal system = tetragonal

2.
## CaMgSi2Ir2 (GGA-PBE)

Data for an optimized crystal structure of CaMgSi2Ir2.

Cell lengths 4.2544, 4.2544, 6.8049 Å; angles 90.00, 90.00, 120.00 degrees
Element x y z (fractional)
Ca  0.0000  0.0000  0.0000
Mg  0.0000  0.0000  0.5000
Si  0.3333  0.6667  0.2876
Si  0.6667  0.3333  0.7124
Ir  0.3333  0.6667  0.6517
Ir  0.6667  0.3333  0.3483

Output
Uncorrected formation energy = -663 meV/atom
Total DFT energy (no corrections) = -36.14 eV for the cell shown
Space group = P-3m1 (164)
Magnetic moment = 0.00 μB per formula unit
Crystal system = trigonal

3.
## CaMg2SiIr2 (GGA-PBE)

Data for an optimized crystal structure of CaMg2SiIr2.

Cell lengths 4.5558, 4.5558, 6.1290 Å; angles 90.00, 90.00, 90.00 degrees
Element x y z (fractional)
Ca  0.0000  0.0000  0.0000
Mg  0.5000  0.5000  0.2464
Mg  0.5000  0.5000  0.7536
Si  0.0000  0.0000  0.5000
Ir  0.0000  0.5000  0.5000
Ir  0.5000  0.0000  0.5000

Output
Uncorrected formation energy = -277 meV/atom
Total DFT energy (no corrections) = -30.00 eV for the cell shown
Space group = P4/mmm (123)
Magnetic moment = 0.44 μB per formula unit
Crystal system = tetragonal

4.
## CaMg2SnIr (GGA-PBE)

Data for an optimized crystal structure of CaMg2SnIr.

Cell lengths 5.0334, 5.0334, 5.1141 Å; angles 90.00, 90.00, 90.00 degrees
Element x y z (fractional)
Ca  0.0000  0.0000  0.0000
Mg  0.0000  0.5000  0.5000
Mg  0.5000  0.0000  0.5000
Sn  0.5000  0.5000  0.0000
Ir  0.5000  0.5000  0.5000

Output
Total DFT energy (no corrections) = -19.28 eV for the cell shown
Space group = P4/mmm (123)
Magnetic moment = 0.00 μB per formula unit
Crystal system = tetragonal
Formation energy from the elements = -1.2 eV/f.u.

5.
## CaMgSnIr (GGA-PBE)

Data for an optimized crystal structure of CaMgSnIr.

Cell lengths 4.8011, 4.8011, 4.8011 Å; angles 60.00, 60.00, 60.00 degrees
Element x y z (fractional)
Ca  0.0000  0.0000  0.0000
Mg  0.7500  0.7500  0.7500
Sn  0.2500  0.2500  0.2500
Ir  0.5000  0.5000  0.5000

Output
Total DFT energy (no corrections) = -17.81 eV for the cell shown
Space group = F-43m (216)
Magnetic moment = 0.00 μB per formula unit
Crystal system = cubic
Formation energy from the elements = -1.3 eV/f.u.

6.
## Sr2CaMgIr (GGA-PBE)

Data for an optimized crystal structure of Sr2CaMgIr.

Cell lengths 5.8433, 5.8433, 5.5255 Å; angles 90.00, 90.00, 90.00 degrees
Element x y z (fractional)
Sr  0.0000  0.5000  0.0000
Sr  0.5000  0.0000  0.0000
Ca  0.0000  0.0000  0.5000
Mg  0.5000  0.5000  0.5000
Ir  0.0000  0.0000  0.0000

Output
Total DFT energy (no corrections) = -16.28 eV for the cell shown
Space group = P4/mmm (123)
Magnetic moment = 0.00 μB per formula unit
Crystal system = tetragonal
Formation energy from the elements = -0.5 eV/f.u.